# 1
Below is CoMo3Br after structural relaxation, with properties calculated at the GGA-PBE level.

CIF file:
```
data_CoMo3Br
_cell_length_a 4.541
_cell_length_b 4.541
_cell_length_c 4.541
_cell_angle_alpha 90.00
_cell_angle_beta 90.00
_cell_angle_gamma 90.00
_space_group_name_H-M_alt 'P m -3 m'
_space_group_IT_number 221
_space_group_name_Hall '-P 4 2 3'
loop_
_atom_site_label
_atom_site_fract_x
_atom_site_fract_y
_atom_site_fract_z
Co1 0.000 0.000 0.000
Mo1 0.000 0.000 0.500
Br1 0.500 0.500 0.500
```

---

# 2
Below is CoMoBr2 after structural relaxation, with properties calculated at the GGA-PBE level.

CIF file:
```
data_CoMoBr2
_cell_length_a 3.5912
_cell_length_b 3.5912
_cell_length_c 24.8384
_cell_angle_alpha 90.00
_cell_angle_beta 90.00
_cell_angle_gamma 120.00
_space_group_name_H-M_alt 'R 3 m'
_space_group_IT_number 160
_space_group_name_Hall 'R 3 -2"'
loop_
_atom_site_label
_atom_site_fract_x
_atom_site_fract_y
_atom_site_fract_z
Co1 0.0000 0.0000 0.0000
Mo1 0.0000 0.0000 0.7103
Br1 0.0000 0.0000 0.2730
Br2 0.0000 0.0000 0.4506
```

---

# 3
Below is CoMoBr2 after structural relaxation, with properties calculated at the GGA-PBE level.

CIF file:
```
data_CoMoBr2
_cell_length_a 6.567
_cell_length_b 3.261
_cell_length_c 8.751
_cell_angle_alpha 90.00
_cell_angle_beta 102.25
_cell_angle_gamma 90.00
_space_group_name_H-M_alt 'C 1 m 1'
_space_group_IT_number 8
loop_
_space_group_symop_operation_xyz
'x,y,z'
'x,-y,z'
'x+1/2,y+1/2,z'
'x+1/2,-y+1/2,z'
loop_
_atom_site_label
_atom_site_fract_x
_atom_site_fract_y
_atom_site_fract_z
Co1 0.000 0.000 0.000
Mo1 0.308 0.000 0.149
Br1 0.141 0.500 0.828
Br2 0.339 0.500 0.378
```

---

# 4
Below is CoMo2Br after structural relaxation, with properties calculated at the GGA-PBE level.

CIF file:
```
data_CoMo2Br
_cell_length_a 3.144
_cell_length_b 3.109
_cell_length_c 7.018
_cell_angle_alpha 90.00
_cell_angle_beta 100.09
_cell_angle_gamma 90.00
_space_group_name_H-M_alt 'P 1 m 1'
_space_group_IT_number 6
loop_
_space_group_symop_operation_xyz
'x,y,z'
'x,-y,z'
loop_
_atom_site_label
_atom_site_fract_x
_atom_site_fract_y
_atom_site_fract_z
Co1 0.000 0.000 0.000
Mo1 0.412 0.500 0.819
Mo2 0.930 0.000 0.591
Br1 0.166 0.500 0.296
```

---

# 5
Below is Co2MoBr after structural relaxation, with properties calculated at the GGA-PBE level.

CIF file:
```
data_Co2MoBr
_cell_length_a 2.9506
_cell_length_b 2.9506
_cell_length_c 24.6963
_cell_angle_alpha 90.00
_cell_angle_beta 90.00
_cell_angle_gamma 120.00
_space_group_name_H-M_alt 'R 3 m'
_space_group_IT_number 160
_space_group_name_Hall 'R 3 -2"'
loop_
_atom_site_label
_atom_site_fract_x
_atom_site_fract_y
_atom_site_fract_z
Co1 0.0000 0.0000 0.0000
Co2 0.0000 0.0000 0.2656
Mo1 0.0000 0.0000 0.7493
Br1 0.0000 0.0000 0.4980
```

---

# 6
Below is CoMoBr2 after structural relaxation, with properties calculated at the GGA-PBE level.

CIF file:
```
data_CoMoBr2
_cell_length_a 14.810
_cell_length_b 3.252
_cell_length_c 3.982
_cell_angle_alpha 90.00
_cell_angle_beta 94.13
_cell_angle_gamma 90.00
_space_group_name_H-M_alt 'C 1 2/m 1'
_space_group_IT_number 12
loop_
_space_group_symop_operation_xyz
'x,y,z'
'-x,-y,-z'
'-x,y,-z'
'x,-y,z'
'x+1/2,y+1/2,z'
'-x+1/2,-y+1/2,-z'
'-x+1/2,y+1/2,-z'
'x+1/2,-y+1/2,z'
loop_
_atom_site_label
_atom_site_fract_x
_atom_site_fract_y
_atom_site_fract_z
Co1 0.000 0.000 0.000
Mo1 0.000 0.500 0.500
Br1 0.134 0.000 0.709
```

---

# 7
Below is CoMo2Br after structural relaxation, with properties calculated at the GGA-PBE level.

CIF file:
```
data_CoMo2Br
_cell_length_a 3.675
_cell_length_b 3.675
_cell_length_c 4.589
_cell_angle_alpha 90.00
_cell_angle_beta 90.00
_cell_angle_gamma 90.00
_space_group_name_H-M_alt 'P 4/m m m'
_space_group_IT_number 123
_space_group_name_Hall '-P 4 2'
loop_
_atom_site_label
_atom_site_fract_x
_atom_site_fract_y
_atom_site_fract_z
Co1 0.000 0.000 0.000
Mo1 0.000 0.500 0.500
Br1 0.500 0.500 0.000
```

---

# 8
Below is Co2MoBr after structural relaxation, with properties calculated at the GGA-PBE level.

CIF file:
```
data_Co2MoBr
_cell_length_a 5.249
_cell_length_b 8.760
_cell_length_c 2.870
_cell_angle_alpha 90.00
_cell_angle_beta 119.35
_cell_angle_gamma 90.00
_space_group_name_H-M_alt 'C 1 2/m 1'
_space_group_IT_number 12
loop_
_space_group_symop_operation_xyz
'x,y,z'
'-x,-y,-z'
'-x,y,-z'
'x,-y,z'
'x+1/2,y+1/2,z'
'-x+1/2,-y+1/2,-z'
'-x+1/2,y+1/2,-z'
'x+1/2,-y+1/2,z'
loop_
_atom_site_label
_atom_site_fract_x
_atom_site_fract_y
_atom_site_fract_z
Co1 0.250 0.250 0.000
Mo1 0.000 0.000 0.500
Br1 0.000 0.500 0.500
```

---

# 9
Below is Co2MoBr after structural relaxation, with properties calculated at the GGA-PBE level.

CIF file:
```
data_Co2MoBr
_cell_length_a 3.056
_cell_length_b 3.153
_cell_length_c 6.626
_cell_angle_alpha 90.00
_cell_angle_beta 90.00
_cell_angle_gamma 90.00
_space_group_name_H-M_alt 'P m m m'
_space_group_IT_number 47
loop_
_space_group_symop_operation_xyz
'x,y,z'
'-x,-y,-z'
'-x,-y,z'
'x,y,-z'
'x,-y,-z'
'-x,y,z'
'-x,y,-z'
'x,-y,z'
loop_
_atom_site_label
_atom_site_fract_x
_atom_site_fract_y
_atom_site_fract_z
Co1 0.000 0.000 0.189
Mo1 0.500 0.500 0.000
Br1 0.500 0.000 0.500
```

---

# 10
Below is CoMo2Br after structural relaxation, with properties calculated at the GGA-PBE level.

CIF file:
```
data_CoMo2Br
_cell_length_a 5.118
_cell_length_b 8.265
_cell_length_c 2.911
_cell_angle_alpha 90.00
_cell_angle_beta 90.00
_cell_angle_gamma 90.00
_space_group_name_H-M_alt 'C m m m'
_space_group_IT_number 65
_space_group_name_Hall '-C 2 2'
loop_
_atom_site_label
_atom_site_fract_x
_atom_site_fract_y
_atom_site_fract_z
Co1 0.000 0.000 0.000
Mo1 0.250 0.250 0.500
Br1 0.000 0.500 0.000
```

---

# 11
Below is CoMoBr2 after structural relaxation, with properties calculated at the GGA-PBE level.

CIF file:
```
data_CoMoBr2
_cell_length_a 3.109
_cell_length_b 5.931
_cell_length_c 8.312
_cell_angle_alpha 90.00
_cell_angle_beta 90.00
_cell_angle_gamma 90.00
_space_group_name_H-M_alt 'C m m m'
_space_group_IT_number 65
_space_group_name_Hall '-C 2 2'
loop_
_atom_site_label
_atom_site_fract_x
_atom_site_fract_y
_atom_site_fract_z
Co1 0.000 0.000 0.000
Mo1 0.000 0.000 0.500
Br1 0.000 0.500 0.242
```

---

# 12
Below is CoMoBr after structural relaxation, with properties calculated at the GGA-PBE level.

CIF file:
```
data_CoMoBr
_cell_length_a 2.958
_cell_length_b 2.958
_cell_length_c 11.330
_cell_angle_alpha 90.00
_cell_angle_beta 90.00
_cell_angle_gamma 90.00
_space_group_name_H-M_alt 'I 4 m m'
_space_group_IT_number 107
_space_group_name_Hall 'I 4 -2'
loop_
_atom_site_label
_atom_site_fract_x
_atom_site_fract_y
_atom_site_fract_z
Co1 0.000 0.000 0.000
Mo1 0.000 0.000 0.370
Br1 0.000 0.000 0.709
```

---

Number 1: E_form (uncorrected) 1500 meV per atom, DOS(E_F) 0.959 states/eV/atom. Number 2: E_form (uncorrected) 107 meV per atom, DOS(E_F) 0.752 states/eV/atom. Number 3: E_form (uncorrected) 72 meV per atom, DOS(E_F) 0.506 states/eV/atom. Number 4: E_form (uncorrected) 441 meV per atom, DOS(E_F) 0.799 states/eV/atom. Number 5: E_form (uncorrected) 622 meV per atom, DOS(E_F) 0.973 states/eV/atom. Number 6: E_form (uncorrected) 263 meV per atom, DOS(E_F) 0.998 states/eV/atom. Number 7: E_form (uncorrected) 999 meV per atom, DOS(E_F) 1.105 states/eV/atom. Number 8: E_form (uncorrected) 885 meV per atom, DOS(E_F) 1.443 states/eV/atom. Number 9: E_form (uncorrected) 460 meV per atom, DOS(E_F) 1.201 states/eV/atom. Number 10: E_form (uncorrected) 915 meV per atom, DOS(E_F) 1.015 states/eV/atom. Number 11: E_form (uncorrected) 845 meV per atom, DOS(E_F) 1.379 states/eV/atom. Number 12: E_form (uncorrected) 594 meV per atom, DOS(E_F) 0.898 states/eV/atom.